(1)
# PBE Cs2ScPb3F12, relaxed
# ΔE_f (raw)   -49.4 eV per formula unit
# Final energy   -273.19 eV per cell
# DOS(E_F)   8.908 states/eV/f.u.
data_Cs2ScPb3F12
_chemical_formula_sum 'Cs6 Sc3 Pb9 F36'
_space_group_name_H-M_alt 'R -3 m'
_space_group_IT_number 166
_space_group_name_Hall '-R 3 2"'
_cell_length_a 8.5311
_cell_length_b 8.5311
_cell_length_c 20.4789
_cell_angle_alpha 90.00
_cell_angle_beta 90.00
_cell_angle_gamma 120.00
loop_
_atom_site_label
_atom_site_type_symbol
_atom_site_fract_x
_atom_site_fract_y
_atom_site_fract_z
_atom_site_occupancy
Cs1 Cs 0.0000 0.0000 0.1618 1
Sc1 Sc 0.0000 0.0000 0.5000 1
Pb1 Pb 0.0000 0.5000 0.0000 1
F1 F 0.0801 0.5401 0.3751 1
F2 F 0.1050 0.5525 0.1111 1

(2)
# PBE NpGa4Cu2Au, relaxed
# E_form   -0.077 eV/atom
# Final energy   -111.41 eV per cell
# DOS(E_F)   9.684 states/eV/f.u.
data_NpGa4Cu2Au
_chemical_formula_sum 'Np3 Ga12 Cu6 Au3'
_space_group_name_H-M_alt 'R -3 m'
_space_group_IT_number 166
_space_group_name_Hall '-R 3 2"'
_cell_length_a 4.2563
_cell_length_b 4.2563
_cell_length_c 26.9450
_cell_angle_alpha 90.00
_cell_angle_beta 90.00
_cell_angle_gamma 120.00
loop_
_atom_site_label
_atom_site_type_symbol
_atom_site_fract_x
_atom_site_fract_y
_atom_site_fract_z
_atom_site_occupancy
Np1 Np 0.0000 0.0000 0.0000 1
Ga1 Ga 0.0000 0.0000 0.1199 1
Ga2 Ga 0.0000 0.0000 0.3966 1
Cu1 Cu 0.0000 0.0000 0.2546 1
Au1 Au 0.0000 0.0000 0.5000 1

(3)
# PBE HgI2NO, relaxed
# ΔE_f (raw)   6.3 eV per formula unit
# Final energy   -10.40 eV per cell
# DOS(E_F)   2.325 states/eV/f.u.
data_HgI2NO
_chemical_formula_sum 'Hg1 I2 N1 O1'
_space_group_name_H-M_alt 'P 4/m m m'
_space_group_IT_number 123
_space_group_name_Hall '-P 4 2'
_cell_length_a 5.2701
_cell_length_b 5.2701
_cell_length_c 4.1065
_cell_angle_alpha 90.00
_cell_angle_beta 90.00
_cell_angle_gamma 90.00
loop_
_atom_site_label
_atom_site_type_symbol
_atom_site_fract_x
_atom_site_fract_y
_atom_site_fract_z
_atom_site_occupancy
Hg1 Hg 0.0000 0.0000 0.0000 1
I1 I 0.0000 0.5000 0.5000 1
N1 N 0.5000 0.5000 0.0000 1
O1 O 0.5000 0.5000 0.5000 1

(4)
# PBE PrDy2Y3S6, relaxed
# ΔE_f (raw)   -24.0 eV per formula unit
# Final energy   -164.27 eV per cell
# DOS(E_F)   4.970 states/eV/f.u.
data_PrDy2Y3S6
_chemical_formula_sum 'Pr2 Dy4 Y6 S12'
_space_group_name_H-M_alt 'C 1 2/m 1'
_space_group_IT_number 12
_cell_length_a 6.8241
_cell_length_b 11.8591
_cell_length_c 6.8327
_cell_angle_alpha 90.00
_cell_angle_beta 109.49
_cell_angle_gamma 90.00
loop_
_space_group_symop_operation_xyz
'x,y,z'
'-x,-y,-z'
'-x,y,-z'
'x,-y,z'
'x+1/2,y+1/2,z'
'-x+1/2,-y+1/2,-z'
'-x+1/2,y+1/2,-z'
'x+1/2,-y+1/2,z'
loop_
_atom_site_label
_atom_site_type_symbol
_atom_site_fract_x
_atom_site_fract_y
_atom_site_fract_z
_atom_site_occupancy
Pr1 Pr 0.0000 0.0000 0.0000 1
Dy1 Dy 0.0000 0.3342 0.0000 1
Y1 Y 0.0000 0.1614 0.5000 1
Y2 Y 0.0000 0.5000 0.5000 1
S1 S 0.2400 0.5000 0.2523 1
S2 S 0.2426 0.3277 0.7441 1

(5)
# PBE Bi2HS2, relaxed
# Final energy   -38.73 eV per cell
# DOS(E_F)   1.625 states/eV/f.u.
data_Bi2HS2
_chemical_formula_sum 'Bi4 H2 S4'
_space_group_name_H-M_alt 'I 4/m m m'
_space_group_IT_number 139
_space_group_name_Hall '-I 4 2'
_cell_length_a 5.6244
_cell_length_b 5.6244
_cell_length_c 7.6814
_cell_angle_alpha 90.00
_cell_angle_beta 90.00
_cell_angle_gamma 90.00
loop_
_atom_site_label
_atom_site_type_symbol
_atom_site_fract_x
_atom_site_fract_y
_atom_site_fract_z
_atom_site_occupancy
Bi1 Bi 0.0000 0.0000 0.2294 1
H1 H 0.0000 0.0000 0.5000 1
S1 S 0.0000 0.5000 0.2500 1

(6)
# PBE AlTeW2, relaxed
# ΔE_f (raw)   2.5 eV per formula unit
# Final energy   -121.33 eV per cell
# DOS(E_F)   2.802 states/eV/f.u.
data_AlTeW2
_chemical_formula_sum 'Al4 Te4 W8'
_space_group_name_H-M_alt 'F -4 3 m'
_space_group_IT_number 216
_space_group_name_Hall 'F -4 2 3'
_cell_length_a 6.5565
_cell_length_b 6.5565
_cell_length_c 6.5565
_cell_angle_alpha 90.00
_cell_angle_beta 90.00
_cell_angle_gamma 90.00
loop_
_atom_site_label
_atom_site_type_symbol
_atom_site_fract_x
_atom_site_fract_y
_atom_site_fract_z
_atom_site_occupancy
Al1 Al 0.0000 0.0000 0.0000 1
Te1 Te 0.2500 0.2500 0.2500 1
W1 W 0.0000 0.0000 0.5000 1
W2 W 0.2500 0.2500 0.7500 1

(7)
# PBE GdLuCoOs, relaxed
# E_form   -0.148 eV/atom
# Final energy   -150.13 eV per cell
# DOS(E_F)   5.133 states/eV/f.u.
data_GdLuCoOs
_chemical_formula_sum 'Gd4 Lu4 Co4 Os4'
_space_group_name_H-M_alt 'F -4 3 m'
_space_group_IT_number 216
_space_group_name_Hall 'F -4 2 3'
_cell_length_a 6.7273
_cell_length_b 6.7273
_cell_length_c 6.7273
_cell_angle_alpha 90.00
_cell_angle_beta 90.00
_cell_angle_gamma 90.00
loop_
_atom_site_label
_atom_site_type_symbol
_atom_site_fract_x
_atom_site_fract_y
_atom_site_fract_z
_atom_site_occupancy
Gd1 Gd 0.0000 0.0000 0.0000 1
Lu1 Lu 0.0000 0.0000 0.5000 1
Co1 Co 0.2500 0.2500 0.2500 1
Os1 Os 0.2500 0.2500 0.7500 1

(8)
# PBE Pm3Sb4, relaxed
# ΔE_f (raw)   -6.1 eV per formula unit
# Final energy   -36.79 eV per cell
# DOS(E_F)   2.775 states/eV/f.u.
data_Pm3Sb4
_chemical_formula_sum 'Pm3 Sb4'
_space_group_name_H-M_alt 'P -1'
_space_group_IT_number 2
_cell_length_a 4.5672
_cell_length_b 4.6431
_cell_length_c 12.4052
_cell_angle_alpha 87.03
_cell_angle_beta 79.53
_cell_angle_gamma 60.59
loop_
_space_group_symop_operation_xyz
'x,y,z'
'-x,-y,-z'
loop_
_atom_site_label
_atom_site_type_symbol
_atom_site_fract_x
_atom_site_fract_y
_atom_site_fract_z
_atom_site_occupancy
Pm1 Pm 0.0000 0.0000 0.0000 1
Pm2 Pm 0.4972 0.2880 0.7148 1
Sb1 Sb 0.2503 0.3563 0.1457 1
Sb2 Sb 0.2591 0.9140 0.5636 1

> Which value of final energy does entry 6 give?

-121.33 eV per cell

Copy entry 7 word for word.
# PBE GdLuCoOs, relaxed
# E_form   -0.148 eV/atom
# Final energy   -150.13 eV per cell
# DOS(E_F)   5.133 states/eV/f.u.
data_GdLuCoOs
_chemical_formula_sum 'Gd4 Lu4 Co4 Os4'
_space_group_name_H-M_alt 'F -4 3 m'
_space_group_IT_number 216
_space_group_name_Hall 'F -4 2 3'
_cell_length_a 6.7273
_cell_length_b 6.7273
_cell_length_c 6.7273
_cell_angle_alpha 90.00
_cell_angle_beta 90.00
_cell_angle_gamma 90.00
loop_
_atom_site_label
_atom_site_type_symbol
_atom_site_fract_x
_atom_site_fract_y
_atom_site_fract_z
_atom_site_occupancy
Gd1 Gd 0.0000 0.0000 0.0000 1
Lu1 Lu 0.0000 0.0000 0.5000 1
Co1 Co 0.2500 0.2500 0.2500 1
Os1 Os 0.2500 0.2500 0.7500 1

> Among the records above, which one has the lowest final energy?

Cs2ScPb3F12